1) The following is a DFT calculation (PBE) of an optimized crystal structure of Tb4Pm5Sm3.

Cell: 5.986 8.667 9.775 Å, 106.18 72.17 69.80°
Fractional positions:
Tb 0.859 0.222 0.059
Tb 0.165 0.048 0.622
Tb 0.835 0.952 0.378
Tb 0.141 0.778 0.941
Pm 0.624 0.952 0.801
Pm 0.500 0.500 0.500
Pm 0.214 0.460 0.113
Pm 0.786 0.540 0.887
Pm 0.376 0.048 0.199
Sm 0.520 0.688 0.272
Sm 0.000 0.500 0.500
Sm 0.480 0.312 0.728

2) The following is a DFT calculation (PBE) of an optimized crystal structure of Tb4Pm5Sm3.

Cell: 7.226 11.433 13.037 Å, 151.29 56.35 129.24°
Fractional positions:
Tb 0.917 0.832 0.667
Tb 0.835 0.669 0.834
Tb 0.165 0.331 0.166
Tb 0.083 0.168 0.333
Pm 0.335 0.667 0.833
Pm 0.500 0.000 0.500
Pm 0.749 0.501 0.001
Pm 0.251 0.499 0.999
Pm 0.665 0.333 0.167
Sm 0.586 0.168 0.334
Sm 0.000 0.000 0.500
Sm 0.414 0.832 0.666

Which of them is most stable, and which least? Most stable: 2); least stable: 1).

1) The following is a DFT calculation (PBE) of an optimized crystal structure of Tb7Pm4Sm.

Cell: 5.953 11.695 6.756 Å, 83.47 63.86 75.26°
Fractional positions:
Tb 0.789 0.923 0.499
Tb 0.211 0.077 0.501
Tb 0.066 0.681 0.188
Tb 0.934 0.319 0.812
Tb 0.368 0.498 0.765
Tb 0.500 0.000 0.000
Tb 0.632 0.502 0.235
Pm 0.637 0.223 0.503
Pm 0.363 0.777 0.497
Pm 0.767 0.673 0.793
Pm 0.233 0.327 0.207
Sm 0.000 0.000 0.000

2) The following is a DFT calculation (PBE) of an optimized crystal structure of Tb7Pm4Sm.

Cell: 6.879 8.848 9.132 Å, 83.96 94.37 47.43°
Fractional positions:
Tb 0.736 0.513 0.949
Tb 0.264 0.487 0.051
Tb 0.984 0.317 0.640
Tb 0.016 0.683 0.360
Tb 0.294 0.810 0.615
Tb 0.500 0.000 0.000
Tb 0.706 0.190 0.385
Pm 0.554 0.639 0.283
Pm 0.446 0.361 0.717
Pm 0.773 0.839 0.690
Pm 0.227 0.161 0.310
Sm 0.000 0.000 0.000

Which of them is most stable, and which least? Most stable: 2); least stable: 1).

1) The following is a DFT calculation (PBE) of an optimized crystal structure of Tb8PmSm2.

Cell: 5.593 10.151 10.151 Å, 40.52 92.77 92.77°
Fractional positions:
Tb 0.267 0.136 0.602
Tb 0.267 0.602 0.136
Tb 0.733 0.864 0.398
Tb 0.237 0.546 0.546
Tb 0.733 0.398 0.864
Tb 0.233 0.187 0.187
Tb 0.767 0.813 0.813
Tb 0.763 0.454 0.454
Pm 0.000 0.000 0.000
Sm 0.747 0.284 0.284
Sm 0.253 0.716 0.716

2) The following is a DFT calculation (PBE) of an optimized crystal structure of Tb8PmSm2.

Cell: 5.564 8.170 9.401 Å, 115.76 107.21 90.00°
Fractional positions:
Tb 0.638 0.845 0.276
Tb 0.362 0.569 0.724
Tb 0.161 0.161 0.323
Tb 0.000 0.294 0.000
Tb 0.839 0.839 0.677
Tb 0.638 0.431 0.276
Tb 0.362 0.155 0.724
Tb 0.000 0.706 0.000
Pm 0.500 0.000 0.000
Sm 0.200 0.700 0.400
Sm 0.800 0.300 0.600

Which of them is most stable, and which least? Most stable: 2); least stable: 1).

1) The following is a DFT calculation (PBE) of an optimized crystal structure of TbPm4Sm2.

Cell: 3.630 3.630 20.815 Å, 85.00 85.00 60.00°
Fractional positions:
Tb 0.000 0.000 0.000
Pm 0.143 0.143 0.572
Pm 0.286 0.286 0.141
Pm 0.714 0.714 0.859
Pm 0.857 0.857 0.428
Sm 0.428 0.428 0.715
Sm 0.572 0.572 0.285

2) The following is a DFT calculation (PBE) of an optimized crystal structure of TbPm4Sm2.

Cell: 5.400 11.449 15.580 Å, 90.00 90.00 90.00°
Fractional positions:
Tb 0.000 0.000 0.500
Tb 0.500 0.500 0.500
Tb 0.000 0.500 0.000
Tb 0.500 0.000 0.000
Pm 0.000 0.707 0.570
Pm 0.500 0.793 0.430
Pm 0.000 0.207 0.930
Pm 0.500 0.293 0.070
Pm 0.000 0.293 0.430
Pm 0.500 0.207 0.570
Pm 0.000 0.793 0.070
Pm 0.500 0.707 0.930
Pm 0.000 0.101 0.694
Pm 0.500 0.399 0.306
Pm 0.000 0.601 0.806
Pm 0.500 0.899 0.194
Pm 0.000 0.899 0.306
Pm 0.500 0.601 0.694
Pm 0.000 0.399 0.194
Pm 0.500 0.101 0.806
Sm 0.000 0.894 0.843
Sm 0.500 0.606 0.157
Sm 0.000 0.394 0.657
Sm 0.500 0.106 0.343
Sm 0.000 0.106 0.157
Sm 0.500 0.394 0.843
Sm 0.000 0.606 0.343
Sm 0.500 0.894 0.657

Which of them is most stable, and which least? Most stable: 1); least stable: 2).

1) The following is a DFT calculation (PBE) of an optimized crystal structure of Tb8Pm6Sm.

Cell: 5.881 9.944 9.944 Å, 120.00 90.00 90.00°
Fractional positions:
Tb 0.744 0.093 0.473
Tb 0.744 0.527 0.620
Tb 0.744 0.380 0.907
Tb 0.256 0.907 0.527
Tb 0.256 0.473 0.380
Tb 0.256 0.620 0.093
Tb 0.227 0.333 0.667
Tb 0.773 0.667 0.333
Pm 0.772 0.777 0.053
Pm 0.772 0.947 0.724
Pm 0.772 0.276 0.223
Pm 0.228 0.223 0.947
Pm 0.228 0.053 0.276
Pm 0.228 0.724 0.777
Sm 0.500 0.000 0.000

2) The following is a DFT calculation (PBE) of an optimized crystal structure of Tb8Pm6Sm.

Cell: 9.147 9.147 8.724 Å, 58.38 58.38 60.00°
Fractional positions:
Tb 0.254 0.281 0.577
Tb 0.719 0.112 0.423
Tb 0.112 0.746 0.423
Tb 0.577 0.577 0.270
Tb 0.423 0.423 0.730
Tb 0.888 0.254 0.577
Tb 0.281 0.888 0.577
Tb 0.746 0.719 0.423
Pm 0.462 0.896 0.873
Pm 0.104 0.231 0.127
Pm 0.231 0.538 0.127
Pm 0.769 0.462 0.873
Pm 0.896 0.769 0.873
Pm 0.538 0.104 0.127
Sm 0.000 0.000 0.000

Which of them is most stable, and which least? Most stable: 2); least stable: 1).

1) The following is a DFT calculation (PBE) of an optimized crystal structure of Tb4Pm3Sm2.

Cell: 3.619 3.619 26.718 Å, 90.00 90.00 120.00°
Fractional positions:
Tb 0.000 0.000 0.542
Tb 0.667 0.333 0.437
Tb 0.667 0.333 0.218
Tb 0.000 0.000 0.762
Pm 0.000 0.000 0.983
Pm 0.000 0.000 0.325
Pm 0.667 0.333 0.652
Sm 0.667 0.333 0.091
Sm 0.667 0.333 0.869

2) The following is a DFT calculation (PBE) of an optimized crystal structure of Tb4Pm3Sm2.

Cell: 6.241 6.247 12.988 Å, 118.73 103.86 119.98°
Fractional positions:
Tb 0.666 0.334 0.000
Tb 0.334 0.666 0.000
Tb 0.890 0.779 0.667
Tb 0.110 0.221 0.333
Pm 0.556 0.111 0.667
Pm 0.000 0.000 0.000
Pm 0.444 0.889 0.333
Sm 0.777 0.555 0.333
Sm 0.223 0.445 0.667

Which of them is most stable, and which least? Most stable: 2); least stable: 1).